(1)
MgRe3 (PBE, optimized geometry); DOS at the Fermi energy = 0.835 states/eV per atom; ΔH_f (0 K) = 0.37 eV/atom; VASP energy = -9.362 eV/atom; energy above the most stable polymorph in this dataset = 195 meV per atom; calculated density = 15.9 g/cm³
1.0
-0.2921 3.9312 2.0659
-0.5603 -2.0864 3.8911
3.0342 -0.0032 0.4352
Re Mg
3 1
direct
0.0000 0.0000 0.0000 Re
0.5000 0.0000 0.5000 Re
0.5000 0.5000 0.0000 Re
0.0000 0.5000 0.5000 Mg

(2)
La2SmHoTm (PBE, optimized geometry); DOS at the Fermi energy = 1.369 states/eV per atom; ΔH_f (0 K) = 0.40 eV/atom; VASP energy = -4.326 eV/atom; calculated density = 7.0 g/cm³
1.0
-0.1527 6.9403 2.4836
1.3063 -2.7972 7.8969
5.0995 1.8131 -4.7532
La Sm Tm Ho
4 2 2 2
direct
0.0000 0.3037 0.0000 La
0.0000 0.6963 0.0000 La
0.5000 0.3037 0.0000 La
0.5000 0.6963 0.0000 La
0.2500 0.7228 0.4456 Sm
0.7500 0.2772 0.5544 Sm
0.2500 0.9869 0.9738 Tm
0.7500 0.0131 0.0262 Tm
0.2500 0.2595 0.5191 Ho
0.7500 0.7405 0.4809 Ho

(3)
TbPm2Y3 (PBE, optimized geometry); DOS at the Fermi energy = 1.653 states/eV per atom; ΔH_f (0 K) = 0.08 eV/atom; VASP energy = -5.506 eV/atom; calculated density = 5.9 g/cm³
1.0
5.4684 0.0000 1.1262
1.7977 7.1232 5.1106
0.3320 2.8417 12.2271
Y Tb Pm
6 2 4
direct
0.2517 0.8436 0.6530 Y
0.2787 0.3521 0.0905 Y
0.9152 0.0609 0.1086 Y
0.0848 0.9391 0.8914 Y
0.7213 0.6479 0.9095 Y
0.7483 0.1564 0.3470 Y
0.4422 0.2706 0.8451 Tb
0.5578 0.7294 0.1549 Tb
0.1060 0.4519 0.3361 Pm
0.8940 0.5481 0.6639 Pm
0.5945 0.2231 0.5879 Pm
0.4055 0.7769 0.4121 Pm

(4)
ZnSb2Se (PBE, optimized geometry); DOS at the Fermi energy = 0.433 states/eV per atom; formation energy from raw total energies = 0.196 eV/atom; VASP energy = -3.054 eV/atom; energy above the most stable polymorph in this dataset = 392 meV per atom; calculated density = 6.9 g/cm³
1.0
-2.9243 -1.9331 -0.1210
2.5216 -2.4378 0.0428
-0.2435 -0.1159 7.7344
Zn Sb Se
1 2 1
direct
0.5000 0.5000 0.7500 Zn
0.0000 0.0000 0.9915 Sb
0.0000 0.0000 0.5085 Sb
0.5000 0.5000 0.2500 Se

(5)
ThPaTl2 (PBE, optimized geometry); DOS at the Fermi energy = 1.527 states/eV per atom; ΔH_f (0 K) = 0.05 eV/atom; VASP energy = -5.357 eV/atom; energy above the most stable polymorph in this dataset = 0 meV per atom; calculated density = 13.1 g/cm³
1.0
-2.7480 0.4835 2.0178
-1.4331 -2.8640 -1.2654
4.0565 -5.0001 6.7226
Tl Pa Th
2 1 1
direct
0.0000 0.0000 0.2427 Tl
0.0000 0.0000 0.7573 Tl
0.5000 0.5000 0.0000 Pa
0.5000 0.5000 0.5000 Th

(6)
Ho4CS2 (PBE, optimized geometry); DOS at the Fermi energy = 0.731 states/eV per atom; formation energy from raw total energies = -1.302 eV/atom; VASP energy = -6.415 eV/atom; calculated density = 7.8 g/cm³
1.0
-1.2908 1.6888 -3.0969
-1.6283 -5.8988 -2.5380
-5.1601 2.3453 3.4296
Ho S C
4 2 1
direct
0.0000 0.2295 0.7705 Ho
0.5000 0.2183 0.2183 Ho
0.0000 0.7705 0.2295 Ho
0.5000 0.7817 0.7817 Ho
0.5000 0.5000 0.0000 S
0.5000 0.0000 0.5000 S
0.0000 0.0000 0.0000 C

(7)
Co2ReMo (PBE, optimized geometry); DOS at the Fermi energy = 1.226 states/eV per atom; ΔH_f (0 K) = 0.24 eV/atom; VASP energy = -9.136 eV/atom; energy above the most stable polymorph in this dataset = 278 meV per atom; calculated density = 12.4 g/cm³
1.0
8.7334 0.0025 0.0014
8.3200 2.6554 0.0014
8.3200 1.2967 2.3173
Re Co Mo
1 2 1
direct
0.7442 0.7442 0.7442 Re
0.2542 0.2542 0.2542 Co
0.9969 0.9969 0.9969 Co
0.5047 0.5047 0.5047 Mo

(8)
La2TbSm (PBE, optimized geometry); DOS at the Fermi energy = 1.558 states/eV per atom; ΔH_f (0 K) = 0.02 eV/atom; VASP energy = -4.785 eV/atom; energy above the most stable polymorph in this dataset = 6 meV per atom; calculated density = 7.0 g/cm³
1.0
-4.2228 1.4374 -2.4811
-2.3331 -4.4593 1.3873
-1.7769 2.2818 4.3462
La Tb Sm
2 1 1
direct
0.0000 0.5000 0.0000 La
0.0000 0.0000 0.5000 La
0.5000 0.5000 0.5000 Tb
0.5000 0.0000 0.0000 Sm